Record 1
{
  "formula": "La2YTe",
  "functional": "GGA-PBE",
  "state": "relaxed",
  "raw_formation_energy_ev_per_atom": -0.646,
  "vol_a3_per_cell": 132,
  "total_magnetization_mub_per_cell": 0.00,
  "spacegroup": "Pm, No. 6",
  "lattice": [[5.1245, 0.0000, 0.0000], [0.0000, 4.1181, 0.0567], [0.0000, 1.9533, 6.2895]],
  "species": ["Y", "Te", "La", "La"],
  "fractional_positions": [[0.5000, 0.5524, 0.7718], [0.0000, 0.6991, 0.4756], [0.5000, 0.2746, 0.3239], [0.0000, 0.9739, 0.9287]]
}



Record 2
{
  "formula": "Pm4YEr4",
  "functional": "GGA-PBE",
  "state": "relaxed",
  "ef_ev_per_atom": 0.02,
  "vol_a3_per_cell": 292,
  "total_magnetization_mub_per_cell": 0.00,
  "spacegroup": "I4/mmm, No. 139",
  "de_polymorph_ev_per_atom": 0.000,
  "lattice": [[-4.8700, -0.0928, -1.3336], [-0.4320, -1.2777, -7.8954], [-2.6273, -7.5460, 0.5573]],
  "species": ["Er", "Er", "Pm", "Pm", "Pm", "Y", "Pm", "Er", "Er"],
  "fractional_positions": [[0.6664, 0.9999, 0.6672], [0.3336, 0.3328, 0.9999], [0.3313, 0.6687, 0.6686], [0.6687, 0.3313, 0.3314], [0.0001, 0.6686, 0.3313], [0.0000, 0.0000, 0.0000], [0.9999, 0.3314, 0.6687], [0.6664, 0.6672, 0.0001], [0.3336, 0.0001, 0.3328]]
}



Record 3
{
  "formula": "Al2SnHg",
  "functional": "GGA-PBE",
  "state": "relaxed",
  "ef_ev_per_atom": 0.22,
  "vol_a3_per_cell": 89,
  "total_magnetization_mub_per_cell": 0.00,
  "spacegroup": "Fm-3m, No. 225",
  "de_polymorph_ev_per_atom": 0.057,
  "lattice": [[0.0000, 3.5401, 3.5401], [3.5401, 0.0000, 3.5401], [3.5401, 3.5401, 0.0000]],
  "species": ["Hg", "Al", "Al", "Sn"],
  "fractional_positions": [[0.5000, 0.5000, 0.5000], [0.7500, 0.7500, 0.7500], [0.2500, 0.2500, 0.2500], [0.0000, 0.0000, 0.0000]]
}



Record 4
{
  "formula": "SmZrIr",
  "functional": "GGA-PBE",
  "state": "relaxed",
  "ef_ev_per_atom": -0.62,
  "vol_a3_per_cell": 413,
  "total_magnetization_mub_per_cell": 0.00,
  "spacegroup": "Amm2, No. 38",
  "de_polymorph_ev_per_atom": 0.036,
  "lattice": [[-5.2074, 3.6509, 3.2906], [-6.4419, -4.7901, 2.9111], [-0.1274, -0.8197, 8.4988]],
  "species": ["Ir", "Ir", "Zr", "Sm", "Ir", "Ir", "Sm", "Zr", "Sm", "Zr", "Ir", "Sm", "Zr", "Sm", "Ir", "Zr", "Sm", "Zr"],
  "fractional_positions": [[0.7519, 0.7499, 0.2499], [0.4198, 0.3338, 0.3337], [0.7539, 0.8730, 0.8730], [0.1695, 0.5420, 0.0420], [0.7517, 0.2501, 0.7501], [0.4198, 0.8337, 0.8338], [0.7532, 0.9580, 0.4580], [0.7539, 0.3730, 0.3730], [0.1693, 0.0420, 0.5420], [0.4999, 0.1270, 0.1270], [0.0872, 0.1663, 0.1662], [0.3375, 0.7500, 0.2500], [0.0070, 0.5000, 0.5000], [0.7535, 0.4580, 0.9580], [0.0872, 0.6662, 0.6663], [0.4999, 0.6270, 0.6270], [0.3375, 0.2500, 0.7500], [0.0070, 0.0000, 0.0000]]
}



Record 5
{
  "formula": "NbMo4",
  "functional": "GGA-PBE",
  "state": "relaxed",
  "ef_ev_per_atom": 2.01,
  "vol_a3_per_cell": 102,
  "total_magnetization_mub_per_cell": 0.00,
  "spacegroup": "Pm-3m, No. 221",
  "de_polymorph_ev_per_atom": 2.091,
  "lattice": [[4.6673, 0.0000, 0.0000], [0.0000, 4.6673, 0.0000], [0.0000, 0.0000, 4.6673]],
  "species": ["Mo", "Nb", "Mo", "Mo", "Mo"],
  "fractional_positions": [[0.5000, 0.0000, 0.5000], [0.5000, 0.5000, 0.5000], [0.0000, 0.5000, 0.5000], [0.5000, 0.5000, 0.0000], [0.0000, 0.0000, 0.0000]]
}



Record 6
{
  "formula": "TaNiSbI2",
  "functional": "GGA-PBE",
  "state": "relaxed",
  "raw_formation_energy_ev_per_atom": 0.989,
  "vol_a3_per_cell": 164,
  "total_magnetization_mub_per_cell": 1.14,
  "spacegroup": "P4/mmm, No. 123",
  "de_polymorph_ev_per_atom": 0.000,
  "lattice": [[-5.2910, 0.2564, -1.2394], [0.3383, -4.8470, -2.4472], [-1.2418, -2.5020, 4.7839]],
  "species": ["I", "I", "Ni", "Ta", "Sb"],
  "fractional_positions": [[0.5000, 0.0000, 0.0000], [0.0000, 0.5000, 0.0000], [0.5000, 0.5000, 0.5000], [0.0000, 0.0000, 0.0000], [0.0000, 0.0000, 0.5000]]
}



Record 7
{
  "formula": "HgSbTe2As",
  "functional": "GGA-PBE",
  "state": "relaxed",
  "raw_formation_energy_ev_per_atom": 0.491,
  "vol_a3_per_cell": 166,
  "total_magnetization_mub_per_cell": 0.00,
  "spacegroup": "P4/mmm, No. 123",
  "de_polymorph_ev_per_atom": 0.000,
  "lattice": [[-4.7840, 0.1027, -2.8643], [-1.6571, -4.6464, 2.6012], [-2.2442, 2.9581, 3.8543]],
  "species": ["As", "Te", "Sb", "Hg", "Te"],
  "fractional_positions": [[0.0000, 0.0000, 0.0000], [0.5000, 0.0000, 0.0000], [0.0000, 0.0000, 0.5000], [0.5000, 0.5000, 0.5000], [0.0000, 0.5000, 0.0000]]
}



Record 8
{
  "formula": "Ba2DyF6",
  "functional": "GGA-PBE",
  "state": "relaxed",
  "raw_formation_energy_ev_per_atom": -3.716,
  "vol_a3_per_cell": 162,
  "total_magnetization_mub_per_cell": 0.99,
  "spacegroup": "Immm, No. 71",
  "lattice": [[4.0253, 0.0000, -0.1521], [0.0000, 6.4903, 0.0000], [-1.7733, -3.2452, 6.2754]],
  "species": ["F", "Ba", "F", "F", "Ba", "F", "F", "Dy", "F"],
  "fractional_positions": [[0.8459, 0.6410, 0.6909], [0.3473, 0.3468, 0.6936], [0.1541, 0.3590, 0.3091], [0.5000, 0.1884, 0.0000], [0.6527, 0.6532, 0.3064], [0.5000, 0.8116, 0.0000], [0.8459, 0.0498, 0.6909], [0.0000, 0.0000, 0.0000], [0.1541, 0.9502, 0.3091]]
}



Record 9
{
  "formula": "Pr6Si3H",
  "functional": "GGA-PBE",
  "state": "relaxed",
  "vol_a3_per_cell": 534,
  "total_magnetization_mub_per_cell": 0.00,
  "spacegroup": "P2_1/c, No. 14",
  "lattice": [[6.4191, 0.0000, -0.0578], [0.0000, 8.2191, 0.0000], [-0.0002, 0.0000, 10.1280]],
  "species": ["H", "Pr", "Si", "Pr", "Pr", "Pr", "Si", "Pr", "Pr", "Pr", "H", "Pr", "Pr", "Si", "Si", "Pr", "Si", "Pr", "Si", "Pr"],
  "fractional_positions": [[0.0000, 0.0000, 0.0000], [0.8550, 0.6709, 0.5582], [0.4255, 0.1189, 0.2519], [0.1450, 0.3291, 0.4418], [0.1344, 0.0396, 0.7668], [0.8656, 0.9604, 0.2332], [0.0000, 0.0000, 0.5000], [0.8702, 0.6816, 0.9401], [0.6344, 0.4604, 0.2668], [0.3550, 0.8291, 0.0582], [0.5000, 0.5000, 0.5000], [0.6298, 0.1816, 0.5599], [0.6450, 0.1709, 0.9418], [0.9255, 0.3811, 0.7519], [0.5745, 0.8811, 0.7481], [0.3656, 0.5396, 0.7332], [0.5000, 0.5000, 0.0000], [0.1298, 0.3184, 0.0599], [0.0745, 0.6189, 0.2481], [0.3702, 0.8184, 0.4401]]
}



Record 10
{
  "formula": "BaGdCdPb",
  "functional": "GGA-PBE",
  "state": "relaxed",
  "ef_ev_per_atom": -0.34,
  "vol_a3_per_cell": 134,
  "total_magnetization_mub_per_cell": 7.57,
  "spacegroup": "F-43m, No. 216",
  "lattice": [[5.7377, 0.0000, 0.0000], [2.8688, 4.9690, 0.0000], [2.8688, 1.6563, 4.6848]],
  "species": ["Gd", "Pb", "Cd", "Ba"],
  "fractional_positions": [[0.5000, 0.5000, 0.5000], [0.2500, 0.2500, 0.2500], [0.7500, 0.7500, 0.7500], [0.0000, 0.0000, 0.0000]]
}



Record 11
{
  "formula": "Ti2Pt9Au",
  "functional": "GGA-PBE",
  "state": "relaxed",
  "ef_ev_per_atom": -0.61,
  "vol_a3_per_cell": 188,
  "total_magnetization_mub_per_cell": 0.00,
  "spacegroup": "P4/mmm, No. 123",
  "lattice": [[3.9674, 0.0000, 0.0000], [0.0000, 3.9674, 0.0000], [0.0000, 0.0000, 11.9458]],
  "species": ["Pt", "Ti", "Au", "Pt", "Pt", "Pt", "Pt", "Pt", "Ti", "Pt", "Pt", "Pt"],
  "fractional_positions": [[0.5000, 0.0000, 0.8224], [0.0000, 0.0000, 0.6711], [0.0000, 0.0000, 0.0000], [0.5000, 0.5000, 0.3382], [0.5000, 0.5000, 0.0000], [0.0000, 0.5000, 0.8224], [0.0000, 0.5000, 0.1776], [0.0000, 0.5000, 0.5000], [0.0000, 0.0000, 0.3289], [0.5000, 0.0000, 0.5000], [0.5000, 0.0000, 0.1776], [0.5000, 0.5000, 0.6618]]
}



Record 12
{
  "formula": "PuNp2Te5",
  "functional": "GGA-PBE",
  "state": "relaxed",
  "raw_formation_energy_ev_per_atom": -0.032,
  "vol_a3_per_cell": 294,
  "total_magnetization_mub_per_cell": 13.84,
  "spacegroup": "P4/mmm, No. 123",
  "lattice": [[5.3991, 0.0000, 0.0000], [0.0000, 7.3854, 0.0000], [0.0000, 0.0000, 7.3854]],
  "species": ["Np", "Np", "Te", "Te", "Pu", "Te", "Te", "Te"],
  "fractional_positions": [[0.5000, 0.5000, 0.0000], [0.5000, 0.0000, 0.5000], [0.0000, 0.2796, 0.7204], [0.0000, 0.7204, 0.7204], [0.0000, 0.0000, 0.0000], [0.5000, 0.0000, 0.0000], [0.0000, 0.2796, 0.2796], [0.0000, 0.7204, 0.2796]]
}



Number 1: E_tot -5.511 eV per atom, Fermi-level density of states 1.13 states/eV/atom. Number 2: E_tot -4.836 eV per atom, Fermi-level density of states 1.53 states/eV/atom. Number 3: E_tot -2.724 eV per atom, Fermi-level density of states 0.47 states/eV/atom. Number 4: E_tot -7.992 eV per atom, Fermi-level density of states 1.08 states/eV/atom. Number 5: E_tot -8.664 eV per atom, Fermi-level density of states 1.13 states/eV/atom. Number 6: E_tot -3.982 eV per atom, Fermi-level density of states 1.67 states/eV/atom. Number 7: E_tot -2.581 eV per atom, Fermi-level density of states 0.98 states/eV/atom. Number 8: E_tot -5.902 eV per atom, Fermi-level density of states 0.06 states/eV/atom. Number 9: E_tot -5.265 eV per atom, Fermi-level density of states 0.93 states/eV/atom. Number 10: E_tot -5.501 eV per atom, Fermi-level density of states 1.62 states/eV/atom. Number 11: E_tot -6.728 eV per atom, Fermi-level density of states 1.13 states/eV/atom. Number 12: E_tot -7.023 eV per atom, Fermi-level density of states 4.12 states/eV/atom.